(1)
Compound: GaAg2Se2
Source: the Alexandria database
Functional: PBE-GGA
Structure: relaxed

a b c (Å): 7.5397 7.5397 3.7934
angles (deg): 90.00 90.00 90.00
Last column: nearest neighbours and their distance in Å.
Fractional positions:
Ga  0.0000  0.0000  0.0000  4 Se 2.77
Ga  0.5000  0.5000  0.0000  4 Se 2.77
Se  0.3221  0.8221  0.0000  6 Ag 2.77-3.03, 2 Ga 2.77
Se  0.8221  0.6779  0.0000  6 Ag 2.77-3.03, 2 Ga 2.77
Se  0.6779  0.1779  0.0000  6 Ag 2.77-3.03, 2 Ga 2.77
Se  0.1779  0.3221  0.0000  6 Ag 2.77-3.03, 2 Ga 2.77
Ag  0.1326  0.6326  0.5000  6 Se 2.77-3.03, 1 Ag 2.83
Ag  0.6326  0.8674  0.5000  6 Se 2.77-3.03, 1 Ag 2.83
Ag  0.8674  0.3674  0.5000  6 Se 2.77-3.03, 1 Ag 2.83
Ag  0.3674  0.1326  0.5000  6 Se 2.77-3.03, 1 Ag 2.83

Values from the calculation:
- Polymorph energy (0 for the lowest one): 108 meV per atom
- Energy relative to the elements, uncorrected: 0.037 eV per atom
- D(E_F): 6.22 states/eV/cell
- Volume: 215.6 Å³ per cell

=====

(2)
Compound: GaAg2Se3
Source: the Alexandria database
Functional: PBE-GGA
Structure: relaxed

a b c (Å): 5.5462 7.6171 6.8517
angles (deg): 106.13 113.87 90.00
Last column: nearest neighbours and their distance in Å.
Fractional positions:
Ga  0.9591  0.7500  0.0000  5 Se 2.53-2.66
Ga  0.0409  0.2500  0.0000  5 Se 2.53-2.66
Ag  0.6696  0.5834  0.3339  6 Se 2.76-2.87
Ag  0.6643  0.0834  0.3339  6 Se 2.76-2.87
Ag  0.3357  0.9166  0.6661  6 Se 2.76-2.87
Ag  0.3304  0.4166  0.6661  6 Se 2.76-2.87
Se  0.4978  0.2500  0.0000  1 Ga 2.53, 4 Ag 2.76
Se  0.5022  0.7500  0.0000  1 Ga 2.53, 4 Ag 2.76
Se  0.1509  0.0777  0.3073  2 Ga 2.65-2.66, 4 Ag 2.78-2.87
Se  0.8436  0.4223  0.6927  2 Ga 2.65-2.66, 4 Ag 2.78-2.87
Se  0.1564  0.5777  0.3073  2 Ga 2.65-2.66, 4 Ag 2.78-2.87
Se  0.8491  0.9223  0.6927  2 Ga 2.65-2.66, 4 Ag 2.78-2.87

Values from the calculation:
- Energy relative to the elements, uncorrected: -0.178 eV per atom
- D(E_F): 5.73 states/eV/cell
- Volume: 252.2 Å³ per cell

=====

(3)
Compound: Ga2Ag5Se5
Source: the Alexandria database
Functional: PBE-GGA
Structure: relaxed

a b c (Å): 3.9500 6.7668 10.9442
angles (deg): 106.92 90.00 106.97
Last column: nearest neighbours and their distance in Å.
Fractional positions:
Ga  0.0399  0.0798  0.7836  4 Se 2.44-2.59
Ga  0.9601  0.9202  0.2164  4 Se 2.44-2.59
Ag  0.5000  0.0000  0.5000  4 Se 2.82
Ag  0.6664  0.3329  0.0505  5 Se 2.83-3.00, 1 Ag 2.92
Ag  0.7269  0.4538  0.3302  5 Se 2.75-2.95, 1 Ag 2.92
Ag  0.2731  0.5462  0.6698  5 Se 2.75-2.95, 1 Ag 2.92
Ag  0.3336  0.6671  0.9495  5 Se 2.83-3.00, 1 Ag 2.92
Se  0.1151  0.2303  0.4111  1 Ga 2.44
Se  0.6717  0.3434  0.7936  2 Ga 2.59, 1 Ag 2.83
Se  0.3283  0.6566  0.2064  2 Ga 2.59, 1 Ag 2.83
Se  0.8849  0.7697  0.5889  1 Ga 2.44
Se  0.0000  0.0000  0.0000  2 Ga 2.57, 4 Ag 2.85

Values from the calculation:
- Energy relative to the elements, uncorrected: -0.140 eV per atom
- D(E_F): 2.74 states/eV/cell
- Volume: 266.5 Å³ per cell

=====

(4)
Compound: GaAg3Se
Source: the Alexandria database
Functional: PBE-GGA
Structure: relaxed

a b c (Å): 4.9059 4.9059 4.9059
angles (deg): 90.00 90.00 90.00
Last column: nearest neighbours and their distance in Å.
Fractional positions:
Ga  0.0000  0.0000  0.0000  6 Ag 2.45
Se  0.5000  0.5000  0.5000  12 Ag 3.47
Ag  0.0000  0.5000  0.0000  2 Ga 2.45
Ag  0.0000  0.0000  0.5000  2 Ga 2.45
Ag  0.5000  0.0000  0.0000  2 Ga 2.45

Values from the calculation:
- Polymorph energy (0 for the lowest one): 160 meV per atom
- Energy relative to the elements, uncorrected: 0.544 eV per atom
- D(E_F): 2.79 states/eV/cell
- Volume: 118.1 Å³ per cell

=====

(5)
Compound: Ga3AgSe
Source: the Alexandria database
Functional: PBE-GGA
Structure: relaxed

a b c (Å): 5.0806 5.0806 5.0806
angles (deg): 90.00 90.00 90.00
Last column: nearest neighbours and their distance in Å.
Fractional positions:
Ga  0.0000  0.5000  0.0000  2 Se 2.54
Ga  0.0000  0.0000  0.5000  2 Se 2.54
Ga  0.5000  0.0000  0.0000  2 Se 2.54
Se  0.0000  0.0000  0.0000  6 Ga 2.54
Ag  0.5000  0.5000  0.5000  12 Ga 3.59

Values from the calculation:
- Polymorph energy (0 for the lowest one): 346 meV per atom
- Energy relative to the elements, uncorrected: 0.503 eV per atom
- D(E_F): 2.27 states/eV/cell
- Volume: 131.1 Å³ per cell

=====

(6)
Compound: GaSiAgSe4
Source: the Alexandria database
Functional: PBE-GGA
Structure: relaxed

a b c (Å): 6.0179 6.0179 6.6324
angles (deg): 116.98 116.98 90.00
Last column: nearest neighbours and their distance in Å.
Fractional positions:
Ga  0.5000  0.5000  0.0000  4 Se 2.46
Si  0.2500  0.7500  0.5000  4 Se 2.31
Ag  0.0000  0.0000  0.0000  4 Se 2.67
Se  0.1370  0.1118  0.7188  1 Si 2.31, 1 Ga 2.46
Se  0.3930  0.8630  0.2812  1 Si 2.31, 1 Ga 2.46
Se  0.5818  0.6070  0.7188  1 Si 2.31, 1 Ga 2.46
Se  0.8882  0.4182  0.2812  1 Si 2.31, 1 Ga 2.46

Values from the calculation:
- Energy relative to the elements, uncorrected: -0.446 eV per atom
- D(E_F): 0.00 states/eV/cell
- Volume: 184.2 Å³ per cell

=====

> Look up the energy relative to the elements, uncorrected of the fifth one.

0.503 eV per atom

=====

> Look up the energy relative to the elements, uncorrected of the fifth one.

0.503 eV per atom

=====

> The lowest volume belongs to which entry?

GaAg3Se

=====

> What is the volume in the sixth record?

184.2 Å³ per cell